CrCu2Se | PBEsol | optimized geometry

Unit cell a=3.5503 b=3.5990 c=8.5304 alpha=90.00 beta=90.00 gamma=90.00
Space group Immm (No. 71)
One atom of each set of equivalent atoms:
1 Cr 0.0000 0.0000 0.0000
2 Cu 0.0000 0.5000 0.2492
3 Se 0.0000 0.0000 0.5000

Calculated values
- Crystal system: orthorhombic
- Formation energy (no corrections): 0.246 eV/atom


CrCu2Se | PBEsol | optimized geometry

Unit cell a=2.8434 b=2.8434 c=23.4817 alpha=90.00 beta=90.00 gamma=120.00
Space group R3m (No. 160, hexagonal axes)
One atom of each set of equivalent atoms:
1 Cr 0.0000 0.0000 0.0000
2 Cu 0.0000 0.0000 0.4953
3 Cu 0.0000 0.0000 0.7502
4 Se 0.0000 0.0000 0.2631

Calculated values
- Crystal system: trigonal
- Formation energy (no corrections): 0.286 eV/atom


Cr2CuSe | PBEsol | optimized geometry

Unit cell a=2.9967 b=2.9967 c=5.6998 alpha=90.00 beta=90.00 gamma=90.00
Space group P4/mmm (No. 123)
One atom of each set of equivalent atoms:
1 Cr 0.0000 0.0000 0.2429
2 Cu 0.5000 0.5000 0.5000
3 Se 0.5000 0.5000 0.0000

Calculated values
- Crystal system: tetragonal
- Formation energy (no corrections): 0.352 eV/atom


CrCu2Se | PBEsol | optimized geometry

Unit cell a=6.0421 b=6.0421 c=6.0421 alpha=90.00 beta=90.00 gamma=90.00
Space group F-43m (No. 216)
One atom of each set of equivalent atoms:
1 Cr 0.0000 0.0000 0.0000
2 Cu 0.0000 0.0000 0.5000
3 Cu 0.2500 0.2500 0.2500
4 Se 0.2500 0.2500 0.7500

Calculated values
- Crystal system: cubic
- Formation energy (no corrections): 0.346 eV/atom


Cr2CuSe | PBEsol | optimized geometry

Unit cell a=8.2464 b=2.9901 c=4.1922 alpha=90.00 beta=99.57 gamma=90.00
Space group C2/m (No. 12)
One atom of each set of equivalent atoms:
1 Cr 0.2426 0.0000 0.2123
2 Cu 0.0000 0.5000 0.0000
3 Se 0.0000 0.0000 0.5000

Calculated values
- Crystal system: monoclinic
- Formation energy (no corrections): 0.424 eV/atom


TiCrCuSe4 | PBEsol | optimized geometry

Unit cell a=7.1599 b=7.4465 c=10.3068 alpha=90.00 beta=90.00 gamma=90.00
Space group Imma (No. 74)
One atom of each set of equivalent atoms:
1 Ti 0.2500 0.2500 0.2500
2 Cr 0.0000 0.0000 0.0000
3 Cu 0.0000 0.2500 0.6279
4 Se 0.0000 0.0075 0.2433
5 Se 0.2347 0.2500 0.0037

Calculated values
- Crystal system: orthorhombic
- Formation energy (no corrections): -0.690 eV/atom


CrCuWSe2 | PBEsol | optimized geometry

Unit cell a=4.5472 b=4.5472 c=4.4395 alpha=90.00 beta=90.00 gamma=90.00
Space group P4/mmm (No. 123)
One atom of each set of equivalent atoms:
1 Cr 0.0000 0.0000 0.0000
2 Cu 0.0000 0.0000 0.5000
3 W 0.5000 0.5000 0.5000
4 Se 0.0000 0.5000 0.0000

Calculated values
- Crystal system: tetragonal
- Formation energy (no corrections): 1.292 eV/atom


ZnCr8Cu3Se16 | PBEsol | optimized geometry

Unit cell a=7.2583 b=7.2583 c=35.5296 alpha=90.00 beta=90.00 gamma=120.00
Space group R3m (No. 160, hexagonal axes)
One atom of each set of equivalent atoms:
1 Zn 0.0000 0.0000 0.0000
2 Cr 0.0000 0.0000 0.3109
3 Cr 0.0000 0.0000 0.8134
4 Cr 0.1681 0.3362 0.8950
5 Cr 0.1687 0.3373 0.3969
6 Cu 0.0000 0.0000 0.1247
7 Cu 0.0000 0.0000 0.4999
8 Cu 0.0000 0.0000 0.6250
9 Se 0.0000 0.0000 0.1906
10 Se 0.0000 0.0000 0.4339
11 Se 0.0000 0.0000 0.6914
12 Se 0.0000 0.0000 0.9321
13 Se 0.0192 0.5096 0.9358
14 Se 0.0202 0.5101 0.4369
15 Se 0.1758 0.3515 0.5221
16 Se 0.1805 0.3610 0.0226

Calculated values
- Crystal system: trigonal
- Formation energy (no corrections): -0.462 eV/atom